1.
VASP calculation (PBE) on Pr2SmY2Tm after structural relaxation.

Cell lengths 7.110, 9.882, 5.695 Å; angles 90.00, 90.00, 90.00 degrees
Space group Pnnm (No. 58)
Asymmetric unit:
Pr1 0.248 0.167 0.000 x4
Sm1 0.000 0.500 0.000 x2
Y1 0.250 0.333 0.500 x4
Tm1 0.000 0.000 0.500 x2

Results
The spin magnetization comes out at 0.000 μB per cell. The raw total energy is -5.211 eV/atom. Its formation energy is 0.07 eV per atom.

***

2.
VASP calculation (PBE) on HfTeRu2Se after structural relaxation.

Cell lengths 4.806, 4.806, 5.308 Å; angles 90.00, 90.00, 90.00 degrees
Space group P4/mmm (No. 123)
Asymmetric unit:
Hf1 0.000 0.000 0.000 x1
Te1 0.000 0.000 0.500 x1
Ru1 0.000 0.500 0.500 x2
Se1 0.500 0.500 0.000 x1

Results
The spin magnetization comes out at 1.852 μB per cell. The raw total energy is -5.838 eV/atom. As for the uncorrected formation energy: 114.6 kJ per mole of atoms.

***

3.
VASP calculation (PBE) on TaInRe2 after structural relaxation.

Cell lengths 2.837, 4.395, 5.618 Å; angles 90.00, 103.43, 90.00 degrees
Space group P2/m (No. 10)
Asymmetric unit:
Ta1 0.000 0.000 0.000 x1
In1 0.500 0.000 0.500 x1
Re1 0.188 0.500 0.754 x2

Results
The spin magnetization comes out at 0.000 μB per cell. The raw total energy is -9.558 eV/atom. Its formation energy is 0.31 eV per atom.

***

4.
VASP calculation (PBE) on Ti3Rh after structural relaxation.

Cell lengths 3.691, 3.691, 9.340 Å; angles 90.00, 90.00, 90.00 degrees
Space group I4/mmm (No. 139)
Asymmetric unit:
Ti1 0.000 0.000 0.000 x2
Ti2 0.000 0.500 0.250 x4
Rh1 0.000 0.000 0.500 x2

Results
The spin magnetization comes out at 0.024 μB per cell. The raw total energy is -8.081 eV/atom. Its formation energy is -0.32 eV per atom.